# 1
ErTm2Al2Cd3In | PBE-GGA | optimized geometry

Computed properties:
* uncorrected energy: -3.31 eV per atom
* calculated density: 8.12 Mg/m³

```
data_ErTm2Al2Cd3In
_symmetry_space_group_name_H-M 'A m m 2'
_symmetry_Int_Tables_number 38
_cell_length_a 4.528
_cell_length_b 12.583
_cell_length_c 7.257
_cell_angle_alpha 90.00
_cell_angle_beta 90.00
_cell_angle_gamma 90.00
loop_
_symmetry_equiv_pos_as_xyz
'x,y,z'
'-x,-y,z'
'-x,y,z'
'x,-y,z'
'x,y+1/2,z+1/2'
'-x,-y+1/2,z+1/2'
'-x,y+1/2,z+1/2'
'x,-y+1/2,z+1/2'
loop_
_atom_site_label
_atom_site_fract_x
_atom_site_fract_y
_atom_site_fract_z
Er1 0.000 0.000 0.000
Tm1 0.000 0.219 0.344
Al1 0.500 0.167 0.063
Cd1 0.500 0.000 0.307
Cd2 0.500 0.128 0.691
In1 0.000 0.000 0.562
```



# 2
Pr2ErMg3Al2Cd | PBE-GGA | optimized geometry

Computed properties:
* uncorrected energy: -3.33 eV per atom
* calculated density: 4.99 Mg/m³

```
data_Pr2ErMg3Al2Cd
_symmetry_space_group_name_H-M 'A m m 2'
_symmetry_Int_Tables_number 38
_cell_length_a 4.648
_cell_length_b 12.916
_cell_length_c 7.628
_cell_angle_alpha 90.00
_cell_angle_beta 90.00
_cell_angle_gamma 90.00
loop_
_symmetry_equiv_pos_as_xyz
'x,y,z'
'-x,-y,z'
'-x,y,z'
'x,-y,z'
'x,y+1/2,z+1/2'
'-x,-y+1/2,z+1/2'
'-x,y+1/2,z+1/2'
'x,-y+1/2,z+1/2'
loop_
_atom_site_label
_atom_site_fract_x
_atom_site_fract_y
_atom_site_fract_z
Pr1 0.000 0.213 0.000
Er1 0.000 0.000 0.358
Mg1 0.500 0.000 0.028
Mg2 0.500 0.123 0.661
Al1 0.500 0.162 0.288
Cd1 0.000 0.000 0.773
```